*P*
Computed, not measured: a PBEsol-optimized structure of TaSe2Cl at the SCAN level of DFT.

Lattice parameters (Å, degrees): 3.0698 5.0148 6.6996 111.98 103.24 90.00
Last column: nearest neighbours and their distance in Å.
Fractional coordinates of all 4 atoms:
Ta: 0.0000 0.5000 0.0000  4 Se 2.53
Se: 0.6673 0.6673 0.3346  2 Ta 2.53
Se: 0.3327 0.3327 0.6654  2 Ta 2.53
Cl: 0.5000 0.0000 0.0000  4 Ta 2.94, 2 Cl 3.07, 4 Se 3.22

DOS at the Fermi energy (states/eV/f.u.): 0.631

=====

*Q*
Computed, not measured: a PBEsol-optimized structure of TaSe2Cl at the SCAN level of DFT.

Lattice parameters (Å, degrees): 3.0810 6.4023 6.6010 121.97 90.00 103.92
Last column: nearest neighbours and their distance in Å.
Fractional coordinates of all 4 atoms:
Ta: 0.4996 0.9993 0.3744  2 Cl 2.45, 4 Se 2.53
Cl: 0.1593 0.3185 0.6789  2 Ta 2.45
Se: 0.0036 0.0073 0.0741  2 Ta 2.53
Se: 0.8375 0.6749 0.3727  2 Ta 2.53

=====

Verdict on stability: *Q* comes out on top.